[1]
Crystalline KRbAuI at its relaxed geometry, computed with GGA-PBE.

Its raw formation energy is -0.836 eV per atom. The energy relative to the lowest polymorph listed for this composition comes out at 13 meV per atom. Its total moment is 0.00 μB/f.u.

The structure belongs to space group F-43m (No. 216); the cell edges are 8.5348, 8.5348 and 8.5348 Å and the angles 90.00°, 90.00° and 90.00°. The asymmetric unit holds K at (0.0000, 0.0000, 0.0000), Rb at (0.0000, 0.0000, 0.5000), Au at (0.2500, 0.2500, 0.2500) and I at (0.2500, 0.2500, 0.7500).


[2]
Crystalline Cr2Ni14H9 at its relaxed geometry, computed with GGA-PBE.

Its calculated total energy is -5.07 eV/atom. Its total moment is 4.18 μB/f.u.

The structure belongs to space group P-3 (No. 147); the cell edges are 6.3361, 6.3361 and 5.9728 Å and the angles 90.00°, 90.00° and 120.00°. The asymmetric unit holds Cr at (0.3333, 0.6667, 0.2476), Ni at (0.0000, 0.0000, 0.2670), Ni at (0.0866, 0.6947, 0.9213), Ni at (0.1083, 0.4167, 0.5872), H at (0.0000, 0.0000, 0.0000), H at (0.0005, 0.7347, 0.6577) and H at (0.3333, 0.6667, 0.9219).


[3]
Crystalline Y3HoIn2 at its relaxed geometry, computed with GGA-PBE.

The energy relative to the lowest polymorph listed for this composition comes out at 70 meV per atom. Its total moment is 0.00 μB/f.u. The formation energy comes out at -0.31 eV/atom.

The structure belongs to space group Cmmm (No. 65); the cell edges are 4.9060, 15.3942 and 4.4975 Å and the angles 90.00°, 90.00° and 90.00°. The asymmetric unit holds Y at (0.0000, 0.0000, 0.0000), Y at (0.0000, 0.3275, 0.0000), Ho at (0.0000, 0.5000, 0.5000) and In at (0.0000, 0.1541, 0.5000).


[4]
Crystalline CaNdNi2H6 at its relaxed geometry, computed with GGA-PBE.

Its calculated total energy is -4.10 eV/atom. Its total moment is 0.00 μB/f.u.

The structure belongs to space group R-3m (No. 166, hexagonal axes); the cell edges are 4.6666, 4.6666 and 16.5712 Å and the angles 90.00°, 90.00° and 120.00°. The asymmetric unit holds Ca at (0.0000, 0.0000, 0.0000), Nd at (0.0000, 0.0000, 0.5000), Ni at (0.0000, 0.0000, 0.2823) and H at (0.0160, 0.5080, 0.4384).


[5]
Crystalline Ba2As2Ru2N at its relaxed geometry, computed with GGA-PBE.

Its raw formation energy is -0.666 eV per atom. Its total moment is 0.00 μB/f.u.

The structure belongs to space group C2/m (No. 12); the cell edges are 11.7407, 4.1577 and 7.6809 Å and the angles 90.00°, 123.42° and 90.00°. The asymmetric unit holds Ba at (0.0600, 0.0000, 0.3139), As at (0.1941, 0.5000, 0.7511), Ru at (0.1795, 0.5000, 0.0588) and N at (0.0000, 0.5000, 0.0000).


[6]
Crystalline YSiP2 at its relaxed geometry, computed with GGA-PBE.

Its raw formation energy is -0.334 eV per atom. Its total moment is 0.00 μB/f.u.

The structure belongs to space group Cmmm (No. 65); the cell edges are 6.0181, 6.6581 and 3.5877 Å and the angles 90.00°, 90.00° and 90.00°. The asymmetric unit holds Y at (0.0000, 0.0000, 0.0000), Si at (0.0000, 0.5000, 0.0000) and P at (0.2500, 0.2500, 0.5000).


[7]
Crystalline Ca3AlSi3 at its relaxed geometry, computed with GGA-PBE.

Its raw formation energy is -0.455 eV per atom. Its total moment is 0.00 μB/f.u.

The structure belongs to space group C2/m (No. 12); the cell edges are 10.9967, 4.4338 and 13.8155 Å and the angles 90.00°, 109.88° and 90.00°. The asymmetric unit holds Ca at (0.0149, 0.0000, 0.3773), Ca at (0.1076, 0.0000, 0.9246), Ca at (0.2345, 0.0000, 0.2244), Al at (0.2251, 0.5000, 0.3989), Si at (0.0287, 0.5000, 0.2257), Si at (0.0989, 0.5000, 0.0755) and Si at (0.1449, 0.5000, 0.5502).


[8]
Crystalline Dy2CdPd3 at its relaxed geometry, computed with GGA-PBE.

The energy relative to the lowest polymorph listed for this composition comes out at 108 meV per atom. Its total moment is 0.00 μB/f.u. The formation energy comes out at -0.66 eV/atom.

The structure belongs to space group Cmcm (No. 63); the cell edges are 12.5575, 7.6500 and 5.6496 Å and the angles 90.00°, 90.00° and 90.00°. The asymmetric unit holds Dy at (0.1656, 0.1744, 0.2500), Cd at (0.0000, 0.3180, 0.7500), Pd at (0.0000, 0.0000, 0.0000) and Pd at (0.1635, 0.5000, 0.0000).


[9]
Crystalline YCr3Se at its relaxed geometry, computed with GGA-PBE.

Its raw formation energy is 1.959 eV per atom. The energy relative to the lowest polymorph listed for this composition comes out at 1455 meV per atom. Its total moment is 11.33 μB/f.u.

The structure belongs to space group Pm-3m (No. 221); the cell edges are 5.0121, 5.0121 and 5.0121 Å and the angles 90.00°, 90.00° and 90.00°. The asymmetric unit holds Y at (0.0000, 0.0000, 0.0000), Cr at (0.0000, 0.0000, 0.5000) and Se at (0.5000, 0.5000, 0.5000).


[10]
Crystalline Tb6Y4Th at its relaxed geometry, computed with GGA-PBE.

Its total moment is 0.00 μB/f.u. The formation energy comes out at 0.15 eV/atom.

The structure belongs to space group Cmcm (No. 63); the cell edges are 5.7516, 9.6797 and 25.7253 Å and the angles 90.00°, 90.00° and 90.00°. The asymmetric unit holds Tb at (0.0000, 0.0000, 0.0000), Tb at (0.0000, 0.0323, 0.2500), Tb at (0.0000, 0.3063, 0.6022), Tb at (0.0000, 0.3651, 0.1827), Y at (0.0000, 0.0342, 0.1222), Y at (0.0000, 0.3448, 0.0419) and Th at (0.0000, 0.3033, 0.7500).


[11]
Crystalline LaGdAgAu at its relaxed geometry, computed with GGA-PBE.

Its total moment is 7.35 μB/f.u. The formation energy comes out at -0.53 eV/atom.

The structure belongs to space group F-43m (No. 216); the cell edges are 7.4610, 7.4610 and 7.4610 Å and the angles 90.00°, 90.00° and 90.00°. The asymmetric unit holds La at (0.0000, 0.0000, 0.0000), Gd at (0.0000, 0.0000, 0.5000), Ag at (0.2500, 0.2500, 0.7500) and Au at (0.2500, 0.2500, 0.2500).


[12]
Crystalline LaErTc at its relaxed geometry, computed with GGA-PBE.

The energy relative to the lowest polymorph listed for this composition comes out at 0 meV per atom. Its total moment is 0.00 μB/f.u. The formation energy comes out at -0.02 eV/atom.

The structure belongs to space group Cmce (No. 64); the cell edges are 6.8795, 12.8504 and 7.3116 Å and the angles 90.00°, 90.00° and 90.00°. The asymmetric unit holds La at (0.0000, 0.2093, 0.1044), Er at (0.2500, 0.0274, 0.7500) and Tc at (0.0000, 0.1136, 0.4728).


[13]
Crystalline MnNiMo2 at its relaxed geometry, computed with GGA-PBE.

The energy relative to the lowest polymorph listed for this composition comes out at 0 meV per atom. Its total moment is 0.74 μB/f.u. The formation energy comes out at 0.06 eV/atom.

The structure belongs to space group P4/mmm (No. 123); the cell edges are 3.7794, 3.7794 and 3.7555 Å and the angles 90.00°, 90.00° and 90.00°. The asymmetric unit holds Mn at (0.0000, 0.0000, 0.0000), Ni at (0.5000, 0.5000, 0.0000) and Mo at (0.0000, 0.5000, 0.5000).


[14]
Crystalline TbPr2YTm5 at its relaxed geometry, computed with GGA-PBE.

Its total moment is 0.00 μB/f.u. The formation energy comes out at 0.27 eV/atom.

The structure belongs to space group I4/mcm (No. 140); the cell edges are 8.6017, 8.6017 and 15.6053 Å and the angles 90.00°, 90.00° and 90.00°. The asymmetric unit holds Tb at (0.0000, 0.0000, 0.2500), Pr at (0.1180, 0.3820, 0.0000), Y at (0.0000, 0.5000, 0.2500), Tm at (0.0000, 0.0000, 0.0000) and Tm at (0.2137, 0.2863, 0.3592).


[15]
Crystalline FeRu2Pt at its relaxed geometry, computed with GGA-PBE.

Its total moment is 2.50 μB/f.u. The formation energy comes out at 0.04 eV/atom.

The structure belongs to space group R3m (No. 160, hexagonal axes); the cell edges are 2.7161, 2.7161 and 26.3837 Å and the angles 90.00°, 90.00° and 120.00°. The asymmetric unit holds Fe at (0.0000, 0.0000, 0.0000), Ru at (0.0000, 0.0000, 0.4944), Ru at (0.0000, 0.0000, 0.7484) and Pt at (0.0000, 0.0000, 0.2511).


[16]
Crystalline CoPt3Rh at its relaxed geometry, computed with GGA-PBE.

The energy relative to the lowest polymorph listed for this composition comes out at 1668 meV per atom. Its total moment is 2.48 μB/f.u. The formation energy comes out at 1.69 eV/atom.

The structure belongs to space group Pm-3m (No. 221); the cell edges are 4.7865, 4.7865 and 4.7865 Å and the angles 90.00°, 90.00° and 90.00°. The asymmetric unit holds Co at (0.0000, 0.0000, 0.0000), Pt at (0.0000, 0.5000, 0.5000) and Rh at (0.5000, 0.5000, 0.5000).


[17]
Crystalline MnNiBr2 at its relaxed geometry, computed with GGA-PBE.

Its raw formation energy is 0.240 eV per atom. The energy relative to the lowest polymorph listed for this composition comes out at 449 meV per atom. Its total moment is 4.35 μB/f.u.

The structure belongs to space group Immm (No. 71); the cell edges are 3.5542, 6.4229 and 7.4747 Å and the angles 90.00°, 90.00° and 90.00°. The asymmetric unit holds Mn at (0.0000, 0.0000, 0.0000), Ni at (0.0000, 0.0000, 0.5000) and Br at (0.0000, 0.5000, 0.2304).


[18]
Crystalline MgCuRe3 at its relaxed geometry, computed with GGA-PBE.

The energy relative to the lowest polymorph listed for this composition comes out at 0 meV per atom. Its total moment is 0.00 μB/f.u. The formation energy comes out at 1.86 eV/atom.

The structure belongs to space group Pm-3m (No. 221); the cell edges are 4.4920, 4.4920 and 4.4920 Å and the angles 90.00°, 90.00° and 90.00°. The asymmetric unit holds Mg at (0.0000, 0.0000, 0.0000), Cu at (0.5000, 0.5000, 0.5000) and Re at (0.0000, 0.5000, 0.5000).


[19]
Crystalline Pr2NpTaN6 at its relaxed geometry, computed with GGA-PBE.

Its raw formation energy is -1.174 eV per atom. Its total moment is 0.00 μB/f.u.

The structure belongs to space group P2_1/c (No. 14); the cell edges are 5.8273, 5.8217 and 10.0315 Å and the angles 90.00°, 125.27° and 90.00°. The asymmetric unit holds Pr at (0.2394, 0.0328, 0.2486), Np at (0.5000, 0.0000, 0.0000), Ta at (0.0000, 0.0000, 0.5000), N at (0.1721, 0.2152, 0.9542), N at (0.2296, 0.7164, 0.9516) and N at (0.3364, 0.0176, 0.7493).


[20]
Crystalline PuTlPdAu at its relaxed geometry, computed with GGA-PBE.

Its total moment is 5.77 μB/f.u. The formation energy comes out at -0.18 eV/atom.

The structure belongs to space group F-43m (No. 216); the cell edges are 7.0674, 7.0674 and 7.0674 Å and the angles 90.00°, 90.00° and 90.00°. The asymmetric unit holds Pu at (0.0000, 0.0000, 0.0000), Tl at (0.2500, 0.2500, 0.2500), Pd at (0.0000, 0.0000, 0.5000) and Au at (0.2500, 0.2500, 0.7500).